[1]
This record from Alexandria via LeMat-Bulk describes a relaxed structure of Ca3VTe. The functional is PBE.

Properties
- volume (Å³/f.u.) = 189
- electronic total energy (eV per atom) = -3.33
- formation energy from raw total energies (eV per atom) = 0.32

a = 5.7339 Å, b = 5.7339 Å, c = 5.7339 Å
α = 90.00°, β = 90.00°, γ = 90.00°
With the nearest neighbours (Å) after each atom.
Fractional positions:
Ca (0.0000, 0.0000, 0.5000)  2 V 2.87
Ca (0.0000, 0.5000, 0.0000)  2 V 2.87
Ca (0.5000, 0.0000, 0.0000)  2 V 2.87
V (0.0000, 0.0000, 0.0000)  6 Ca 2.87
Te (0.5000, 0.5000, 0.5000)  12 Ca 4.05



[2]
This record from Alexandria via LeMat-Bulk describes a relaxed structure of PrHo2US8. The functional is PBE.

Properties
- volume (Å³/f.u.) = 310
- electronic total energy (eV per atom) = -6.34
- formation energy from raw total energies (eV per atom) = -1.49

a = 5.9484 Å, b = 6.2621 Å, c = 8.3226 Å
α = 90.00°, β = 90.04°, γ = 90.61°
With the nearest neighbours (Å) after each atom.
Fractional positions:
Pr (0.0000, 0.0000, 0.0000)  6 S 2.85-2.98
Ho (0.5003, 0.5001, 0.2575)  6 S 2.70-2.75
Ho (0.4997, 0.4999, 0.7425)  6 S 2.70-2.75
U (0.0000, 0.0000, 0.5000)  6 S 2.55-2.58
S (0.2216, 0.4286, 0.0000)  2 Ho 2.74, 1 S 2.79, 1 Pr 2.98
S (0.2455, 0.3421, 0.4997)  1 U 2.58, 2 Ho 2.70
S (0.2497, 0.8663, 0.2731)  1 U 2.55, 1 Ho 2.75, 1 Pr 2.85
S (0.2502, 0.8669, 0.7272)  1 U 2.55, 1 Ho 2.75, 1 Pr 2.85
S (0.7498, 0.1331, 0.2728)  1 U 2.55, 1 Ho 2.75, 1 Pr 2.85
S (0.7503, 0.1337, 0.7269)  1 U 2.55, 1 Ho 2.75, 1 Pr 2.85
S (0.7545, 0.6579, 0.5003)  1 U 2.58, 2 Ho 2.70
S (0.7784, 0.5714, 0.0000)  2 Ho 2.74, 1 S 2.79, 1 Pr 2.98



[3]
This record from Alexandria via LeMat-Bulk describes a relaxed structure of CsIn2Sn3. The functional is PBE.

Properties
- volume (Å³/f.u.) = 201
- electronic total energy (eV per atom) = -3.12
- energy of formation (eV/atom) = -0.0655

a = 6.7137 Å, b = 6.7137 Å, c = 5.1412 Å
α = 90.00°, β = 90.00°, γ = 120.00°
With the nearest neighbours (Å) after each atom.
Fractional positions:
Cs (0.0000, 0.0000, 0.0000)  6 In 3.88, 12 Sn 4.23
In (0.3333, 0.6667, 0.0000)  6 Sn 3.22
In (0.6667, 0.3333, 0.0000)  6 Sn 3.22
Sn (0.0000, 0.5000, 0.5000)  4 In 3.22, 4 Sn 3.36
Sn (0.5000, 0.0000, 0.5000)  4 In 3.22, 4 Sn 3.36
Sn (0.5000, 0.5000, 0.5000)  4 In 3.22, 4 Sn 3.36



[4]
This record from Alexandria via LeMat-Bulk describes a relaxed structure of TlSiNi. The functional is PBE.

Properties
- volume (Å³/f.u.) = 55
- electronic total energy (eV per atom) = -4.33
- E above lowest polymorph (meV/atom) = 50.2
- formation energy from raw total energies (eV per atom) = 0.19

a = 3.9443 Å, b = 3.9443 Å, c = 4.1083 Å
α = 90.00°, β = 90.00°, γ = 120.00°
With the nearest neighbours (Å) after each atom.
Fractional positions:
Tl (0.0000, 0.0000, 0.0000)  6 Ni 3.07, 6 Si 3.07
Si (0.3333, 0.6667, 0.5000)  3 Ni 2.28
Ni (0.6667, 0.3333, 0.5000)  3 Si 2.28



[5]
This record from Alexandria via LeMat-Bulk describes a relaxed structure of SrGaSeBr2. The functional is PBE.

Properties
- volume (Å³/f.u.) = 211
- electronic total energy (eV per atom) = -3.11
- E above lowest polymorph (meV/atom) = 249.2
- formation energy from raw total energies (eV per atom) = -0.80

a = 5.9159 Å, b = 5.9159 Å, c = 6.0402 Å
α = 90.00°, β = 90.00°, γ = 90.00°
With the nearest neighbours (Å) after each atom.
Fractional positions:
Sr (0.0000, 0.0000, 0.0000)  4 Br 2.96, 2 Se 3.02
Ga (0.5000, 0.5000, 0.5000)  4 Se 4.18, 8 Br 4.23
Se (0.0000, 0.0000, 0.5000)  2 Sr 3.02
Br (0.0000, 0.5000, 0.0000)  2 Sr 2.96
Br (0.5000, 0.0000, 0.0000)  2 Sr 2.96



[6]
This record from Alexandria via LeMat-Bulk describes a relaxed structure of Tl2In8Sn3. The functional is PBE.

Properties
- volume (Å³/f.u.) = 375
- electronic total energy (eV per atom) = -2.93
- energy of formation (eV/atom) = 0.0471
- E above lowest polymorph (meV/atom) = 6.7

a = 9.7379 Å, b = 9.7379 Å, c = 6.3300 Å
α = 95.41°, β = 95.41°, γ = 38.86°
With the nearest neighbours (Å) after each atom.
Fractional positions:
Tl (0.1714, 0.1714, 0.2972)  9 In 3.43-3.79, 3 Sn 3.52-3.83
Tl (0.8286, 0.8286, 0.7028)  9 In 3.43-3.79, 3 Sn 3.52-3.83
In (0.1129, 0.6035, 0.2191)  5 In 3.07-3.30, 2 Sn 3.07-3.43
In (0.2832, 0.2832, 0.8114)  5 In 3.06-3.22
In (0.3965, 0.8871, 0.7809)  5 In 3.07-3.30, 2 Sn 3.07-3.43
In (0.4287, 0.4287, 0.6138)  4 In 3.06-3.13, 2 Sn 3.15
In (0.5713, 0.5713, 0.3862)  4 In 3.06-3.13, 2 Sn 3.15
In (0.6035, 0.1129, 0.2191)  5 In 3.07-3.30, 2 Sn 3.07-3.43
In (0.7168, 0.7168, 0.1886)  5 In 3.06-3.22
In (0.8871, 0.3965, 0.7809)  5 In 3.07-3.30, 2 Sn 3.07-3.43
Sn (0.0000, 0.0000, 0.5000)  8 In 3.43-3.59, 2 Tl 3.52, 4 Sn 3.52
Sn (0.2393, 0.7607, 0.0000)  4 In 3.07-3.15, 2 Sn 3.10-3.38
Sn (0.7607, 0.2393, 0.0000)  4 In 3.07-3.15, 2 Sn 3.10-3.38



[7]
This record from Alexandria via LeMat-Bulk describes a relaxed structure of AgPW2. The functional is PBE.

Properties
- volume (Å³/f.u.) = 62
- electronic total energy (eV per atom) = -7.85
- energy of formation (eV/atom) = 0.6911
- E above lowest polymorph (meV/atom) = 410.8

a = 4.8775 Å, b = 4.8775 Å, c = 4.8775 Å
α = 132.39°, β = 132.39°, γ = 69.61°
With the nearest neighbours (Å) after each atom.
Fractional positions:
Ag (0.0000, 0.0000, 0.0000)  8 W 2.78-2.81, 4 P 2.81
P (0.2500, 0.7500, 0.5000)  8 W 2.78-2.81, 4 Ag 2.81
W (0.5000, 0.5000, 0.0000)  4 Ag 2.78, 4 W 2.81, 4 P 2.81
W (0.7500, 0.2500, 0.5000)  4 P 2.78, 4 W 2.81, 4 Ag 2.81



[8]
This record from Alexandria via LeMat-Bulk describes a relaxed structure of ZrAg3Br2Cl6. The functional is PBE.

Properties
- volume (Å³/f.u.) = 330
- electronic total energy (eV per atom) = -3.55
- formation energy from raw total energies (eV per atom) = -0.92

a = 8.0205 Å, b = 8.0205 Å, c = 6.1218 Å
α = 95.63°, β = 95.63°, γ = 57.59°
With the nearest neighbours (Å) after each atom.
Fractional positions:
Zr (0.0000, 0.0000, 0.0000)  6 Cl 2.49-2.52
Ag (0.0000, 0.5000, 0.0000)  2 Br 2.66, 2 Cl 2.75
Ag (0.5000, 0.0000, 0.0000)  2 Br 2.66, 2 Cl 2.75
Ag (0.5000, 0.5000, 0.5000)  2 Br 2.68, 4 Cl 2.90
Br (0.3290, 0.3290, 0.2574)  3 Ag 2.66-2.68
Br (0.6710, 0.6710, 0.7426)  3 Ag 2.66-2.68
Cl (0.1398, 0.1398, 0.7758)  1 Zr 2.52, 2 Ag 2.75
Cl (0.1518, 0.6914, 0.7573)  1 Zr 2.49
Cl (0.3086, 0.8482, 0.2427)  1 Zr 2.49
Cl (0.6914, 0.1518, 0.7573)  1 Zr 2.49
Cl (0.8482, 0.3086, 0.2427)  1 Zr 2.49
Cl (0.8602, 0.8602, 0.2242)  1 Zr 2.52, 2 Ag 2.75



[9]
This record from Alexandria via LeMat-Bulk describes a relaxed structure of AlAg5. The functional is PBE.

Properties
- volume (Å³/f.u.) = 116
- electronic total energy (eV per atom) = -2.79
- energy of formation (eV/atom) = 0.2092
- E above lowest polymorph (meV/atom) = 236.3

a = 5.4704 Å, b = 5.4704 Å, c = 5.4704 Å
α = 60.00°, β = 60.00°, γ = 60.00°
With the nearest neighbours (Å) after each atom.
Fractional positions:
Al (0.0000, 0.0000, 0.0000)  16 Ag 3.21-3.35
Ag (0.3750, 0.3750, 0.3750)  6 Ag 2.73-2.74
Ag (0.3750, 0.3750, 0.8751)  6 Ag 2.73-2.74
Ag (0.3750, 0.8751, 0.3750)  6 Ag 2.73-2.74
Ag (0.7500, 0.7500, 0.7500)  12 Ag 3.21, 4 Al 3.35
Ag (0.8751, 0.3750, 0.3750)  6 Ag 2.73-2.74



[10]
This record from Alexandria via LeMat-Bulk describes a relaxed structure of CaTcHg2. The functional is PBE.

Properties
- volume (Å³/f.u.) = 83
- electronic total energy (eV per atom) = -2.98
- energy of formation (eV/atom) = 0.2590
- E above lowest polymorph (meV/atom) = 28.1

a = 4.6325 Å, b = 4.6325 Å, c = 3.8662 Å
α = 90.00°, β = 90.00°, γ = 90.00°
With the nearest neighbours (Å) after each atom.
Fractional positions:
Ca (0.0000, 0.0000, 0.0000)  8 Hg 3.02, 4 Tc 3.28
Tc (0.5000, 0.5000, 0.0000)  8 Hg 3.02, 4 Ca 3.28
Hg (0.0000, 0.5000, 0.5000)  4 Tc 3.02, 4 Ca 3.02, 4 Hg 3.28
Hg (0.5000, 0.0000, 0.5000)  4 Tc 3.02, 4 Ca 3.02, 4 Hg 3.28



[11]
This record from Alexandria via LeMat-Bulk describes a relaxed structure of CoOsPb3. The functional is PBE.

Properties
- volume (Å³/f.u.) = 146
- electronic total energy (eV per atom) = -4.79
- energy of formation (eV/atom) = 1.0975
- E above lowest polymorph (meV/atom) = 0.0

a = 5.2685 Å, b = 5.2685 Å, c = 5.2685 Å
α = 90.00°, β = 90.00°, γ = 90.00°
With the nearest neighbours (Å) after each atom.
Fractional positions:
Co (0.0000, 0.0000, 0.0000)  12 Pb 3.73
Os (0.5000, 0.5000, 0.5000)  6 Pb 2.63
Pb (0.0000, 0.5000, 0.5000)  2 Os 2.63
Pb (0.5000, 0.0000, 0.5000)  2 Os 2.63
Pb (0.5000, 0.5000, 0.0000)  2 Os 2.63



[12]
This record from Alexandria via LeMat-Bulk describes a relaxed structure of Pr3Cu6P5. The functional is PBE.

Properties
- volume (Å³/f.u.) = 236
- electronic total energy (eV per atom) = -5.41
- energy of formation (eV/atom) = -0.6979

a = 3.9438 Å, b = 12.1190 Å, c = 9.8761 Å
α = 90.00°, β = 90.00°, γ = 90.00°
With the nearest neighbours (Å) after each atom.
Fractional positions:
Pr (0.2500, 0.0905, 0.2498)  6 P 3.02-3.05, 7 Cu 3.07-3.23
Pr (0.2500, 0.4095, 0.2498)  6 P 3.02-3.05, 7 Cu 3.07-3.23
Pr (0.2500, 0.7500, 0.2470)  6 P 3.03-3.04, 10 Cu 3.09-3.30
Pr (0.7500, 0.2500, 0.7530)  6 P 3.03-3.04, 10 Cu 3.09-3.30
Pr (0.7500, 0.5905, 0.7502)  6 P 3.02-3.05, 7 Cu 3.07-3.23
Pr (0.7500, 0.9095, 0.7502)  6 P 3.02-3.05, 7 Cu 3.07-3.23
Cu (0.2500, 0.0665, 0.8978)  4 P 2.39-2.45, 1 Cu 2.48
Cu (0.2500, 0.2500, 0.0088)  2 Cu 2.48, 4 P 2.52
Cu (0.2500, 0.2500, 0.5115)  4 P 2.39-2.48
Cu (0.2500, 0.4335, 0.8978)  4 P 2.39-2.45, 1 Cu 2.48
Cu (0.2500, 0.5799, 0.4940)  4 P 2.43-2.47
Cu (0.2500, 0.9201, 0.4940)  4 P 2.43-2.47
Cu (0.7500, 0.0799, 0.5060)  4 P 2.43-2.47
Cu (0.7500, 0.4201, 0.5060)  4 P 2.43-2.47
Cu (0.7500, 0.5665, 0.1022)  4 P 2.39-2.45, 1 Cu 2.48
Cu (0.7500, 0.7500, 0.4885)  4 P 2.39-2.48
Cu (0.7500, 0.7500, 0.9912)  2 Cu 2.48, 4 P 2.52
Cu (0.7500, 0.9335, 0.1022)  4 P 2.39-2.45, 1 Cu 2.48
P (0.2500, 0.0795, 0.6502)  5 Cu 2.43-2.48
P (0.2500, 0.4205, 0.6502)  5 Cu 2.43-2.48
P (0.2500, 0.6205, 0.9829)  5 Cu 2.39-2.52
P (0.2500, 0.7500, 0.6253)  4 Cu 2.39-2.43
P (0.2500, 0.8795, 0.9829)  5 Cu 2.39-2.52
P (0.7500, 0.1205, 0.0171)  5 Cu 2.39-2.52
P (0.7500, 0.2500, 0.3747)  4 Cu 2.39-2.43
P (0.7500, 0.3795, 0.0171)  5 Cu 2.39-2.52
P (0.7500, 0.5795, 0.3498)  5 Cu 2.43-2.48
P (0.7500, 0.9205, 0.3498)  5 Cu 2.43-2.48



[13]
This record from Alexandria via LeMat-Bulk describes a relaxed structure of LiPt2Pb2. The functional is PBE.

Properties
- volume (Å³/f.u.) = 118
- electronic total energy (eV per atom) = -4.42
- energy of formation (eV/atom) = -0.1391
- E above lowest polymorph (meV/atom) = 84.3

a = 5.5504 Å, b = 5.5504 Å, c = 5.5504 Å
α = 121.73°, β = 121.73°, γ = 87.03°
With the nearest neighbours (Å) after each atom.
Fractional positions:
Li (0.0000, 0.0000, 0.0000)  2 Pt 2.69
Pt (0.3347, 0.3347, 0.0000)  1 Pt 2.66, 1 Li 2.69, 4 Pb 2.79
Pt (0.6653, 0.6653, 0.0000)  1 Pt 2.66, 1 Li 2.69, 4 Pb 2.79
Pb (0.2500, 0.7500, 0.5000)  4 Pt 2.79
Pb (0.7500, 0.2500, 0.5000)  4 Pt 2.79



[14]
This record from Alexandria via LeMat-Bulk describes a relaxed structure of K2ScOs3O12. The functional is PBE.

Properties
- volume (Å³/f.u.) = 278
- electronic total energy (eV per atom) = -7.13
- formation energy from raw total energies (eV per atom) = -1.48

a = 7.3609 Å, b = 7.3609 Å, c = 7.3609 Å
α = 59.36°, β = 59.36°, γ = 59.36°
With the nearest neighbours (Å) after each atom.
Fractional positions:
K (0.1211, 0.1211, 0.1211)  9 O 3.20-3.59
K (0.8789, 0.8789, 0.8789)  9 O 3.20-3.59
Sc (0.5000, 0.5000, 0.5000)  6 O 2.09
Os (0.0000, 0.5000, 0.5000)  6 O 1.87-1.93
Os (0.5000, 0.0000, 0.5000)  6 O 1.87-1.93
Os (0.5000, 0.5000, 0.0000)  6 O 1.87-1.93
O (0.1614, 0.5704, 0.5704)  1 Os 1.87
O (0.1901, 0.1901, 0.5734)  2 Os 1.93
O (0.1901, 0.5734, 0.1901)  2 Os 1.93
O (0.4266, 0.8099, 0.8099)  2 Os 1.93
O (0.4296, 0.4296, 0.8386)  1 Os 1.87
O (0.4296, 0.8386, 0.4296)  1 Os 1.87
O (0.5704, 0.1614, 0.5704)  1 Os 1.87
O (0.5704, 0.5704, 0.1614)  1 Os 1.87
O (0.5734, 0.1901, 0.1901)  2 Os 1.93
O (0.8099, 0.4266, 0.8099)  2 Os 1.93
O (0.8099, 0.8099, 0.4266)  2 Os 1.93
O (0.8386, 0.4296, 0.4296)  1 Os 1.87



[15]
This record from Alexandria via LeMat-Bulk describes a relaxed structure of Cs2DyPaS4. The functional is PBE.

Properties
- volume (Å³/f.u.) = 235
- electronic total energy (eV per atom) = -5.65
- formation energy from raw total energies (eV per atom) = -1.61

a = 7.1025 Å, b = 4.0761 Å, c = 8.4489 Å
α = 90.00°, β = 106.06°, γ = 90.00°
With the nearest neighbours (Å) after each atom.
Fractional positions:
Cs (0.0000, 0.0000, 0.0000)  6 S 3.48-3.50
Cs (0.5000, 0.5000, 0.0000)  6 S 3.48-3.49
Dy (0.0000, 0.5000, 0.5000)  6 S 2.79
Pa (0.5000, 0.0000, 0.5000)  6 S 2.78-2.80
S (0.2293, 0.0000, 0.6824)  1 Pa 2.78, 2 Dy 2.79
S (0.2715, 0.5000, 0.3157)  1 Dy 2.79, 2 Pa 2.80
S (0.7285, 0.5000, 0.6843)  1 Dy 2.79, 2 Pa 2.80
S (0.7707, 0.0000, 0.3176)  1 Pa 2.78, 2 Dy 2.79



[16]
This record from Alexandria via LeMat-Bulk describes a relaxed structure of Pm6PdRh5. The functional is PBE.

Properties
- volume (Å³/f.u.) = 264
- electronic total energy (eV per atom) = -6.58
- energy of formation (eV/atom) = -0.7088
- E above lowest polymorph (meV/atom) = 0.0

a = 4.9724 Å, b = 7.1199 Å, c = 7.8515 Å
α = 90.00°, β = 108.32°, γ = 90.00°
With the nearest neighbours (Å) after each atom.
Fractional positions:
Pm (0.0000, 0.2462, 0.0000)  6 Rh 3.04-3.06, 2 Pd 3.07
Pm (0.0000, 0.7538, 0.0000)  6 Rh 3.04-3.06, 2 Pd 3.07
Pm (0.3315, 0.2489, 0.6635)  7 Rh 3.03-3.07, 1 Pd 3.08
Pm (0.3315, 0.7511, 0.6635)  7 Rh 3.03-3.07, 1 Pd 3.08
Pm (0.6685, 0.2489, 0.3365)  7 Rh 3.03-3.07, 1 Pd 3.08
Pm (0.6685, 0.7511, 0.3365)  7 Rh 3.03-3.07, 1 Pd 3.08
Pd (0.5000, 0.5000, 0.0000)  8 Pm 3.07-3.08
Rh (0.1661, 0.5000, 0.3312)  8 Pm 3.06
Rh (0.1678, 0.0000, 0.3343)  8 Pm 3.03-3.06
Rh (0.5000, 0.0000, 0.0000)  8 Pm 3.04-3.07
Rh (0.8322, 0.0000, 0.6657)  8 Pm 3.03-3.06
Rh (0.8339, 0.5000, 0.6688)  8 Pm 3.06



[17]
This record from Alexandria via LeMat-Bulk describes a relaxed structure of PmNpPa2As4. The functional is PBE.

Properties
- volume (Å³/f.u.) = 200
- electronic total energy (eV per atom) = -7.99
- energy of formation (eV/atom) = -1.0808

a = 7.1379 Å, b = 4.1378 Å, c = 7.1704 Å
α = 90.00°, β = 109.55°, γ = 90.00°
With the nearest neighbours (Å) after each atom.
Fractional positions:
Pm (0.0000, 0.0000, 0.0000)  6 As 2.96
Np (0.0000, 0.5000, 0.5000)  6 As 2.93-2.94
Pa (0.5000, 0.0000, 0.5000)  6 As 2.88-2.89
Pa (0.5000, 0.5000, 0.0000)  6 As 2.91
As (0.2545, 0.0000, 0.7485)  3 Pa 2.89-2.91, 2 Np 2.93, 1 Pm 2.96
As (0.2580, 0.5000, 0.2556)  3 Pa 2.88-2.91, 1 Np 2.94, 2 Pm 2.96
As (0.7420, 0.5000, 0.7444)  3 Pa 2.88-2.91, 1 Np 2.94, 2 Pm 2.96
As (0.7455, 0.0000, 0.2515)  3 Pa 2.89-2.91, 2 Np 2.93, 1 Pm 2.96



| no. | DOS(E_F) (states/eV/atom) |
| --- | --- |
| 1 | 0.658 |
| 2 | 0.126 |
| 3 | 0.599 |
| 4 | 0.433 |
| 5 | 1.056 |
| 6 | 0.371 |
| 7 | 1.057 |
| 8 | 0.738 |
| 9 | 0.738 |
| 10 | 0.827 |
| 11 | 4.054 |
| 12 | 0.338 |
| 13 | 0.670 |
| 14 | 0.571 |
| 15 | 0.944 |
| 16 | 0.567 |
| 17 | 1.795 |